one.
A relaxed structure of GeRhSe2N. Source: Alexandria via LeMat-Bulk, functional PBE.

```
GeRhSe2N
1.0
5.1149 0.0000 0.0000
0.0000 5.1149 0.0000
0.0000 0.0000 3.4289
Ge Rh Se N
1 1 2 1
Direct
0.0000 0.0000 0.0000
0.5000 0.5000 0.5000
0.0000 0.5000 0.0000
0.5000 0.0000 0.0000
0.0000 0.0000 0.5000
```

***

two.
A relaxed structure of GeRhSe2N. Source: Alexandria via LeMat-Bulk, functional PBE.

```
GeRhSe2N
1.0
-0.3675 0.4916 -5.1341
-1.0417 -5.0481 -0.4088
-3.5644 0.7094 0.3231
Ge Rh Se N
1 1 2 1
Direct
0.5000 0.5000 0.5000
0.0000 0.0000 0.0000
0.0000 0.5000 0.0000
0.5000 0.0000 0.0000
0.0000 0.0000 0.5000
```

***

Quick one: most stable of them? two

***

one.
A relaxed structure of GeRhSeN2. Source: Alexandria via LeMat-Bulk, functional PBE.

```
GeRhSeN2
1.0
3.8685 0.0000 0.0000
0.0000 3.8685 0.0000
0.0000 0.0000 5.3448
Ge Rh Se N
1 1 1 2
Direct
0.5000 0.5000 0.5000
0.0000 0.0000 0.0000
0.0000 0.0000 0.5000
0.0000 0.5000 0.0000
0.5000 0.0000 0.0000
```

***

two.
A relaxed structure of GeRhSeN2. Source: Alexandria via LeMat-Bulk, functional PBE.

```
GeRhSeN2
1.0
-2.6839 1.5795 -1.7980
-2.0561 -0.1393 2.9469
2.4215 6.3813 1.9911
Ge Rh Se N
1 1 1 2
Direct
0.0000 0.0000 0.0000
0.5000 0.5000 0.5000
0.0000 0.0000 0.5000
0.0000 0.5000 0.0000
0.5000 0.0000 0.0000
```

***

Quick one: most stable of them? one

***

one.
A relaxed structure of GeTeRhN2. Source: Alexandria via LeMat-Bulk, functional PBE.

```
GeTeRhN2
1.0
-1.4741 -2.7365 1.9480
2.8250 0.1409 2.3357
-3.9704 5.3283 4.4808
Ge Te Rh N
1 1 1 2
Direct
0.0000 0.0000 0.0000
0.0000 0.0000 0.5000
0.5000 0.5000 0.5000
0.0000 0.5000 0.0000
0.5000 0.0000 0.0000
```

***

two.
A relaxed structure of GeTeRhN2. Source: Alexandria via LeMat-Bulk, functional PBE.

```
GeTeRhN2
1.0
3.9345 0.0000 0.0000
0.0000 3.9345 0.0000
0.0000 0.0000 5.6525
Ge Te Rh N
1 1 1 2
Direct
0.5000 0.5000 0.5000
0.0000 0.0000 0.5000
0.0000 0.0000 0.0000
0.0000 0.5000 0.0000
0.5000 0.0000 0.0000
```

***

Quick one: most stable of them? two

***

one.
A relaxed structure of GeRuSeN2. Source: Alexandria via LeMat-Bulk, functional PBE.

```
GeRuSeN2
1.0
3.5992 0.0000 0.0000
0.0000 3.5992 0.0000
0.0000 0.0000 6.0871
Ru Ge Se N
1 1 1 2
Direct
0.5000 0.5000 0.5000
0.0000 0.0000 0.0000
0.0000 0.0000 0.5000
0.0000 0.5000 0.0000
0.5000 0.0000 0.0000
```

***

two.
A relaxed structure of GeRuSeN2. Source: Alexandria via LeMat-Bulk, functional PBE.

```
GeRuSeN2
1.0
-2.8775 -2.5591 -0.1329
2.4785 -2.8301 0.8333
-0.9209 0.7592 5.3176
Ru Ge Se N
1 1 1 2
Direct
0.0000 0.0000 0.0000
0.5000 0.5000 0.5000
0.0000 0.0000 0.5000
0.0000 0.5000 0.0000
0.5000 0.0000 0.0000
```

***

Quick one: most stable of them? two